First-principles (GGA+U) data for Hg3WF after structural relaxation, as listed in Alexandria via LeMat-Bulk.

Unit cell a=4.9349 b=4.9349 c=4.9349 alpha=90.00 beta=90.00 gamma=90.00
Each line ends with the local moment (μB).
Fractional positions:
Hg1 0.0000 0.0000 0.5000  -0.08
F1 0.0000 0.0000 0.0000  -0.06
Hg2 0.0000 0.5000 0.0000  -0.07
Hg3 0.5000 0.0000 0.0000  -0.01
W1 0.5000 0.5000 0.5000  3.57

## Properties
Offset from the most stable computed form = 0.118 eV per atom
Energy = -1.52 eV per atom